(1)
Computed, not measured: a relaxed LuBiPt crystal at the PBE level of DFT.

Magnetic moment ... 0.0 μB per formula unit
Space-group type ... P-62m (189)

abc: 7.6089 7.6089 4.1043
angles: 90.00 90.00 120.00
Element x y z (fractional)
Lu: 0.0000 0.6033 0.0000
Lu: 0.3967 0.3967 0.0000
Lu: 0.6033 0.0000 0.0000
Bi: 0.0000 0.2689 0.5000
Bi: 0.2689 0.0000 0.5000
Bi: 0.7311 0.7311 0.5000
Pt: 0.0000 0.0000 0.0000
Pt: 0.3333 0.6667 0.5000
Pt: 0.6667 0.3333 0.5000

***

(2)
Computed, not measured: a relaxed GaSiW4N2 crystal at the PBE level of DFT.

Magnetic moment ... 0.0 μB per formula unit
Space-group type ... P-6m2 (187)

abc: 2.8458 2.8458 14.5268
angles: 90.00 90.00 120.00
Element x y z (fractional)
Ga: 0.0000 0.0000 0.0000
Si: 0.6667 0.3333 0.5000
W: 0.0000 0.0000 0.3564
W: 0.0000 0.0000 0.6436
W: 0.6667 0.3333 0.1552
W: 0.6667 0.3333 0.8448
N: 0.3333 0.6667 0.2542
N: 0.3333 0.6667 0.7458

***

(3)
Computed, not measured: a relaxed CdBiPtAu crystal at the PBE level of DFT.

Magnetic moment ... 0.0 μB per formula unit
Space-group type ... F-43m (216)
Energy above the lowest structure with this stoichiometry ... 0.000 eV/atom

abc: 4.9101 4.9101 4.9101
angles: 60.00 60.00 60.00
Element x y z (fractional)
Cd: 0.0000 0.0000 0.0000
Bi: 0.5000 0.5000 0.5000
Pt: 0.7500 0.7500 0.7500
Au: 0.2500 0.2500 0.2500

***

(4)
Computed, not measured: a relaxed RbCuTe2OsSe crystal at the PBE level of DFT.

Magnetic moment ... 0.0 μB per formula unit
Space-group type ... Cmcm (63)

abc: 8.4699 8.4699 9.9053
angles: 90.00 90.00 152.50
Element x y z (fractional)
Rb: 0.2479 0.7521 0.7500
Rb: 0.7521 0.2479 0.2500
Cu: 0.4789 0.5211 0.2500
Cu: 0.5211 0.4789 0.7500
Te: 0.3937 0.6063 0.0383
Te: 0.3937 0.6063 0.4617
Te: 0.6063 0.3937 0.5383
Te: 0.6063 0.3937 0.9617
Os: 0.0000 0.0000 0.0000
Os: 0.0000 0.0000 0.5000
Se: 0.0626 0.9374 0.2500
Se: 0.9374 0.0626 0.7500

***

(5)
Computed, not measured: a relaxed CuSn crystal at the PBE level of DFT.

Space-group type ... F-43m (216)

abc: 4.1319 4.1319 4.1319
angles: 60.00 60.00 60.00
Element x y z (fractional)
Cu: 0.0000 0.0000 0.0000
Sn: 0.7500 0.7500 0.7500

***

(6)
Computed, not measured: a relaxed Tl2Tc2O5 crystal at the PBE level of DFT.

Magnetic moment ... 0.0 μB per formula unit
Space-group type ... P4/mmm (123)
Energy above the lowest structure with this stoichiometry ... 0.000 eV/atom

abc: 3.8553 3.8553 8.9119
angles: 90.00 90.00 90.00
Element x y z (fractional)
Tl: 0.0000 0.0000 0.0000
Tl: 0.0000 0.0000 0.5000
Tc: 0.5000 0.5000 0.2333
Tc: 0.5000 0.5000 0.7667
O: 0.0000 0.5000 0.2468
O: 0.0000 0.5000 0.7532
O: 0.5000 0.0000 0.2468
O: 0.5000 0.0000 0.7532
O: 0.5000 0.5000 0.0000

***

(7)
Computed, not measured: a relaxed BaTcPt2 crystal at the PBE level of DFT.

Magnetic moment ... 2.8 μB per formula unit
Space-group type ... F-43m (216)

abc: 4.8498 4.8498 4.8498
angles: 60.00 60.00 60.00
Element x y z (fractional)
Ba: 0.0000 0.0000 0.0000
Tc: 0.7500 0.7500 0.7500
Pt: 0.2500 0.2500 0.2500
Pt: 0.5000 0.5000 0.5000

***

(8)
Computed, not measured: a relaxed ThNiHg crystal at the PBE level of DFT.

Magnetic moment ... 0.0 μB per formula unit
Space-group type ... F-43m (216)

abc: 4.6434 4.6434 4.6434
angles: 60.00 60.00 60.00
Element x y z (fractional)
Th: 0.0000 0.0000 0.0000
Ni: 0.2500 0.2500 0.2500
Hg: 0.5000 0.5000 0.5000

***

(9)
Computed, not measured: a relaxed Dy3Er3NiTe2 crystal at the PBE level of DFT.

Magnetic moment ... 1.0 μB per formula unit
Space-group type ... P-62m (189)
Energy above the lowest structure with this stoichiometry ... 0.000 eV/atom

abc: 8.3691 8.3691 3.8725
angles: 90.00 90.00 120.00
Element x y z (fractional)
Dy: 0.0000 0.5965 0.0000
Dy: 0.4035 0.4035 0.0000
Dy: 0.5965 0.0000 0.0000
Er: 0.0000 0.2383 0.5000
Er: 0.2383 0.0000 0.5000
Er: 0.7617 0.7617 0.5000
Ni: 0.0000 0.0000 0.0000
Te: 0.3333 0.6667 0.5000
Te: 0.6667 0.3333 0.5000

***

(10)
Computed, not measured: a relaxed LiZnP crystal at the PBE level of DFT.

Space-group type ... P-62m (189)

abc: 6.3342 6.3342 3.8551
angles: 90.00 90.00 120.00
Element x y z (fractional)
Li: 0.0000 0.5842 0.0000
Li: 0.4158 0.4158 0.0000
Li: 0.5842 0.0000 0.0000
Zn: 0.0000 0.2663 0.5000
Zn: 0.2663 0.0000 0.5000
Zn: 0.7337 0.7337 0.5000
P: 0.0000 0.0000 0.0000
P: 0.3333 0.6667 0.5000
P: 0.6667 0.3333 0.5000

***

(11)
Computed, not measured: a relaxed Ni14Te crystal at the PBE level of DFT.

Magnetic moment ... 7.9 μB per formula unit
Space-group type ... P2_1/m (11)
Energy above the lowest structure with this stoichiometry ... 0.190 eV/atom

abc: 10.4230 2.5790 26.3707
angles: 90.00 90.66 90.00
Element x y z (fractional)
Ni: 0.0274 0.2500 0.0990
Ni: 0.0316 0.2500 0.8227
Ni: 0.0834 0.7500 0.0227
Ni: 0.1396 0.2500 0.9460
Ni: 0.1954 0.7500 0.1446
Ni: 0.1956 0.7500 0.8697
Ni: 0.2513 0.2500 0.0679
Ni: 0.2539 0.2500 0.7957
Ni: 0.3063 0.7500 0.9917
Ni: 0.3619 0.2500 0.9154
Ni: 0.3649 0.2500 0.1904
Ni: 0.4183 0.7500 0.8369
Ni: 0.4193 0.7500 0.1150
Ni: 0.4725 0.2500 0.0383
Ni: 0.5275 0.7500 0.9617
Ni: 0.5807 0.2500 0.8850
Ni: 0.5817 0.2500 0.1631
Ni: 0.6351 0.7500 0.8096
Ni: 0.6381 0.7500 0.0846
Ni: 0.6937 0.2500 0.0083
Ni: 0.7461 0.7500 0.2043
Ni: 0.7487 0.7500 0.9321
Ni: 0.8044 0.2500 0.1303
Ni: 0.8046 0.2500 0.8554
Ni: 0.8604 0.7500 0.0540
Ni: 0.9166 0.2500 0.9773
Ni: 0.9684 0.7500 0.1773
Ni: 0.9726 0.7500 0.9010
Te: 0.1402 0.2500 0.2323
Te: 0.8598 0.7500 0.7677

***

(12)
Computed, not measured: a relaxed NdCl2 crystal at the PBE level of DFT.

Magnetic moment ... 1.0 μB per formula unit
Space-group type ... Fd-3m (227)

abc: 5.9417 5.9417 5.9417
angles: 60.00 60.00 60.00
Element x y z (fractional)
Nd: 0.1250 0.1250 0.1250
Nd: 0.8750 0.8750 0.8750
Cl: 0.0000 0.5000 0.5000
Cl: 0.5000 0.0000 0.5000
Cl: 0.5000 0.5000 0.0000
Cl: 0.5000 0.5000 0.5000

***

Number 1: energy -51.18 eV per cell. Number 2: energy -76.04 eV per cell. Number 3: energy -14.37 eV per cell. Number 4: energy -53.06 eV per cell. Number 5: energy -6.77 eV per cell. Number 6: energy -58.39 eV per cell. Number 7: energy -22.15 eV per cell. Number 8: energy -14.10 eV per cell. Number 9: energy -45.75 eV per cell. Number 10: energy -29.89 eV per cell. Number 11: energy -155.58 eV per cell. Number 12: energy -20.66 eV per cell.